No. 1
ThSnH6Os2 GGA-PBE relaxed; E_tot = -54.90 eV per formula unit; crystal system = monoclinic
1.0
3.4742 -5.1013 0.0000
3.4742 5.1013 0.0000
-2.7599 0.0000 5.9963
Th Sn H Os
2 2 12 4
Direct
0.1293 0.8707 0.7500
0.8707 0.1293 0.2500
0.4750 0.5250 0.2500
0.5250 0.4750 0.7500
0.0448 0.4479 0.6161
0.0907 0.8974 0.1032
0.1026 0.9093 0.3968
0.3009 0.6772 0.9741
0.3228 0.6991 0.5259
0.4479 0.0448 0.1161
0.5521 0.9552 0.8839
0.6772 0.3009 0.4741
0.6991 0.3228 0.0259
0.8974 0.0907 0.6032
0.9093 0.1026 0.8968
0.9552 0.5521 0.3839
0.0940 0.3821 0.8552
0.3821 0.0940 0.3552
0.6179 0.9060 0.6448
0.9060 0.6179 0.1448

***

No. 2
LuHf2Np GGA-PBE relaxed; E_tot = -36.01 eV per formula unit; E_form = 1.4 eV/f.u.; crystal system = tetragonal; energy above the most stable polymorph in this dataset = 0.047 eV/atom
1.0
3.7107 0.0000 0.0000
0.0000 3.7107 0.0000
0.0000 0.0000 7.0142
Lu Hf Np
1 2 1
Direct
0.0000 0.0000 0.0000
0.5000 0.5000 0.2855
0.5000 0.5000 0.7145
0.0000 0.0000 0.5000

***

No. 3
Ir4AuSe GGA-PBE relaxed; E_tot = -37.46 eV per formula unit; formation energy from raw total energies = 0.791 eV/atom; crystal system = cubic
1.0
0.0000 3.7056 3.7056
3.7056 0.0000 3.7056
3.7056 3.7056 0.0000
Ir Au Se
4 1 1
Direct
0.1249 0.1249 0.1249
0.1249 0.1249 0.6252
0.1249 0.6252 0.1249
0.6252 0.1249 0.1249
0.7500 0.7500 0.7500
0.5000 0.5000 0.5000

***

No. 4
Li8Bi2Te GGA-PBE relaxed; E_tot = -33.30 eV per formula unit; formation energy from raw total energies = -0.645 eV/atom; crystal system = orthorhombic
1.0
-2.3878 3.2695 7.1918
2.3878 -3.2695 7.1918
2.3878 3.2695 -7.1918
Li Bi Te
8 2 1
Direct
0.1073 0.3468 0.7604
0.1857 0.1857 0.0000
0.2700 0.0000 0.2700
0.4136 0.6532 0.7604
0.5864 0.3468 0.2396
0.7300 0.0000 0.7300
0.8143 0.8143 0.0000
0.8927 0.6532 0.2396
0.3241 0.8241 0.5000
0.6759 0.1759 0.5000
0.0000 0.5000 0.5000

***

No. 5
Cd4Ni GGA-PBE relaxed; E_tot = -8.42 eV per formula unit; E_form = 1.0 eV/f.u.; crystal system = cubic
1.0
4.9933 0.0000 0.0000
0.0000 4.9933 0.0000
0.0000 0.0000 4.9933
Cd Ni
4 1
Direct
0.0000 0.0000 0.0000
0.0000 0.5000 0.5000
0.5000 0.0000 0.5000
0.5000 0.5000 0.0000
0.5000 0.5000 0.5000

***

No. 6
Tl4HgSb GGA-PBE relaxed; E_tot = -13.92 eV per formula unit; formation energy from raw total energies = -0.005 eV/atom; crystal system = monoclinic; energy above the most stable polymorph in this dataset = 0.000 eV/atom
1.0
5.5105 0.0000 0.0000
0.0000 6.8735 0.0000
-0.0826 0.0000 9.7298
Tl Hg Sb
8 2 2
Direct
0.2491 0.0033 0.2675
0.2491 0.4967 0.2675
0.2503 0.7500 0.9264
0.2506 0.2500 0.5981
0.7494 0.7500 0.4019
0.7497 0.2500 0.0736
0.7509 0.5033 0.7325
0.7509 0.9967 0.7325
0.2488 0.2500 0.9260
0.7512 0.7500 0.0740
0.2509 0.7500 0.5934
0.7491 0.2500 0.4066

***

No. 7
Hf3PPt GGA-PBE relaxed; E_tot = -45.87 eV per formula unit; E_form = -4.6 eV/f.u.; crystal system = monoclinic; energy above the most stable polymorph in this dataset = 0.000 eV/atom
1.0
6.5324 0.0000 0.0000
0.0000 3.5817 0.0000
-1.3712 0.0000 8.1364
Hf P Pt
6 2 2
Direct
0.0155 0.2500 0.1792
0.3216 0.7500 0.4198
0.4500 0.7500 0.8158
0.5500 0.2500 0.1842
0.6784 0.2500 0.5802
0.9845 0.7500 0.8208
0.2640 0.7500 0.0809
0.7360 0.2500 0.9191
0.1564 0.2500 0.6198
0.8436 0.7500 0.3802

***

No. 8
IrSeBr2 GGA-PBE relaxed; E_tot = -11.71 eV per formula unit; formation energy from raw total energies = 0.995 eV/atom; crystal system = cubic; energy above the most stable polymorph in this dataset = 1.060 eV/atom
1.0
0.0000 3.4002 3.4002
3.4002 0.0000 3.4002
3.4002 3.4002 0.0000
Ir Se Br
1 1 2
Direct
0.0000 0.0000 0.0000
0.7500 0.7500 0.7500
0.2500 0.2500 0.2500
0.5000 0.5000 0.5000

***

No. 9
Pr2ScAs3 GGA-PBE relaxed; E_tot = -38.18 eV per formula unit; E_form = -8.3 eV/f.u.; crystal system = tetragonal
1.0
-2.1102 2.1102 8.7550
2.1102 -2.1102 8.7550
2.1102 2.1102 -8.7550
Pr Sc As
2 1 3
Direct
0.1657 0.1657 0.0000
0.8343 0.8343 0.0000
0.5000 0.5000 0.0000
0.0000 0.0000 0.0000
0.3410 0.3410 0.0000
0.6590 0.6590 0.0000

***

No. 10
K2ErAuCl6 GGA-PBE relaxed; E_tot = -37.52 eV per formula unit; formation energy from raw total energies = -1.641 eV/atom; crystal system = cubic
1.0
0.0000 5.3387 5.3387
5.3387 0.0000 5.3387
5.3387 5.3387 0.0000
K Er Au Cl
2 1 1 6
Direct
0.2500 0.2500 0.2500
0.7500 0.7500 0.7500
0.0000 0.0000 0.0000
0.5000 0.5000 0.5000
0.2439 0.2439 0.7561
0.2439 0.7561 0.2439
0.2439 0.7561 0.7561
0.7561 0.2439 0.2439
0.7561 0.2439 0.7561
0.7561 0.7561 0.2439

***

No. 11
ScAlPtN2 GGA-PBE relaxed; E_tot = -29.03 eV per formula unit; formation energy from raw total energies = 0.746 eV/atom; crystal system = tetragonal
1.0
3.9481 0.0000 0.0000
0.0000 3.9481 0.0000
0.0000 0.0000 5.5466
Sc Al Pt N
1 1 1 2
Direct
0.0000 0.0000 0.0000
0.5000 0.5000 0.5000
0.0000 0.0000 0.5000
0.0000 0.5000 0.0000
0.5000 0.0000 0.0000

***

No. 12
Tb3TmAl8 GGA-PBE relaxed; E_tot = -54.48 eV per formula unit; E_form = -6.2 eV/f.u.; crystal system = trigonal; energy above the most stable polymorph in this dataset = 0.000 eV/atom
1.0
2.7762 1.6028 9.1120
-2.7762 1.6028 9.1120
0.0000 -3.2056 9.1120
Tb Tm Al
3 1 8
Direct
0.0000 0.0000 0.0000
0.1249 0.1249 0.1249
0.5004 0.5004 0.5004
0.6247 0.6247 0.6247
0.0619 0.5623 0.5623
0.0628 0.0628 0.5629
0.0628 0.5629 0.0628
0.3124 0.3124 0.3124
0.5623 0.0619 0.5623
0.5623 0.5623 0.0619
0.5629 0.0628 0.0628
0.8126 0.8126 0.8126

***

No. 13
SrPm3C GGA-PBE relaxed; E_tot = -24.43 eV per formula unit; E_form = 0.7 eV/f.u.; crystal system = cubic
1.0
5.3169 0.0000 0.0000
0.0000 5.3169 0.0000
0.0000 0.0000 5.3169
Sr Pm C
1 3 1
Direct
0.0000 0.0000 0.0000
0.0000 0.5000 0.5000
0.5000 0.0000 0.5000
0.5000 0.5000 0.0000
0.5000 0.5000 0.5000

***

No. 14
CaMnZn2 GGA-PBE relaxed; E_tot = -13.81 eV per formula unit; E_form = -0.1 eV/f.u.; crystal system = tetragonal
1.0
3.3287 0.0000 0.0000
0.0000 3.3287 0.0000
0.0000 0.0000 6.7903
Ca Mn Zn
1 1 2
Direct
0.0000 0.0000 0.0000
0.0000 0.0000 0.5000
0.5000 0.5000 0.3059
0.5000 0.5000 0.6941

***

No. 15
SmU2Ir9 GGA-PBE relaxed; E_tot = -112.70 eV per formula unit; E_form = -5.7 eV/f.u.; crystal system = trigonal
1.0
2.6482 1.5290 8.7758
-2.6482 1.5290 8.7758
0.0000 -3.0579 8.7758
Sm U Ir
1 2 9
Direct
0.0000 0.0000 0.0000
0.1403 0.1403 0.1403
0.8597 0.8597 0.8597
0.0808 0.5851 0.5851
0.3332 0.3332 0.3332
0.4149 0.4149 0.9192
0.4149 0.9192 0.4149
0.5000 0.5000 0.5000
0.5851 0.0808 0.5851
0.5851 0.5851 0.0808
0.6668 0.6668 0.6668
0.9192 0.4149 0.4149

***

No. 16
PmMnSi2Mo GGA-PBE relaxed; E_tot = -38.13 eV per formula unit; formation energy from raw total energies = -0.507 eV/atom; crystal system = tetragonal
1.0
-1.9987 1.9987 5.5024
1.9987 -1.9987 5.5024
1.9987 1.9987 -5.5024
Pm Mn Si Mo
1 1 2 1
Direct
0.0000 0.0000 0.0000
0.7500 0.2500 0.5000
0.3862 0.3862 0.0000
0.6138 0.6138 0.0000
0.2500 0.7500 0.5000

***

No. 17
La3MgNi GGA-PBE relaxed; E_tot = -17.23 eV per formula unit; E_form = 4.9 eV/f.u.; crystal system = cubic; energy above the most stable polymorph in this dataset = 1.087 eV/atom
1.0
5.7677 0.0000 0.0000
0.0000 5.7677 0.0000
0.0000 0.0000 5.7677
La Mg Ni
3 1 1
Direct
0.0000 0.0000 0.5000
0.0000 0.5000 0.0000
0.5000 0.0000 0.0000
0.0000 0.0000 0.0000
0.5000 0.5000 0.5000

***

No. 18
SrPr3Ru GGA-PBE relaxed; E_tot = -25.53 eV per formula unit; E_form = -0.2 eV/f.u.; crystal system = cubic
1.0
5.6901 0.0000 0.0000
0.0000 5.6901 0.0000
0.0000 0.0000 5.6901
Sr Pr Ru
1 3 1
Direct
0.0000 0.0000 0.0000
0.0000 0.5000 0.5000
0.5000 0.0000 0.5000
0.5000 0.5000 0.0000
0.5000 0.5000 0.5000

***

No. 19
Ho2Zn12Cu5 GGA-PBE relaxed; E_tot = -49.26 eV per formula unit; E_form = -4.3 eV/f.u.; crystal system = trigonal
1.0
4.4098 2.5460 4.3134
-4.4098 2.5460 4.3134
0.0000 -5.0920 4.3134
Ho Zn Cu
2 12 5
Direct
0.1649 0.1649 0.1649
0.8351 0.8351 0.8351
0.1526 0.1526 0.6485
0.1526 0.6485 0.1526
0.2091 0.5000 0.7909
0.2091 0.7909 0.5000
0.3515 0.8474 0.8474
0.5000 0.2091 0.7909
0.5000 0.7909 0.2091
0.6485 0.1526 0.1526
0.7909 0.2091 0.5000
0.7909 0.5000 0.2091
0.8474 0.3515 0.8474
0.8474 0.8474 0.3515
0.0000 0.5000 0.5000
0.3989 0.3989 0.3989
0.5000 0.0000 0.5000
0.5000 0.5000 0.0000
0.6011 0.6011 0.6011

***

No. 20
Y2AsP GGA-PBE relaxed; E_tot = -27.22 eV per formula unit; E_form = -4.2 eV/f.u.; crystal system = tetragonal
1.0
3.5104 0.0000 0.0000
0.0000 3.5104 0.0000
0.0000 0.0000 7.1520
Y As P
2 1 1
Direct
0.0000 0.0000 0.2390
0.0000 0.0000 0.7610
0.5000 0.5000 0.5000
0.5000 0.5000 0.0000